# Na2Np3NiS6, relaxed, DFT PBE-GGA
# Calculated density: 6.6 g cm⁻³
# DFT total energy: -7.108 eV/atom
# Density of states at the Fermi level: 58.9 states/eV per cell
data_Na2Np3NiS6
_cell_length_a 6.910
_cell_length_b 11.934
_cell_length_c 6.561
_cell_angle_alpha 90.00
_cell_angle_beta 111.22
_cell_angle_gamma 90.00
_space_group_name_H-M_alt 'C 1 2/m 1'
_space_group_IT_number 12
_space_group_name_Hall '-C 2y'
loop_
_atom_site_label
_atom_site_type_symbol
_atom_site_fract_x
_atom_site_fract_y
_atom_site_fract_z
Na1 Na 0.000 0.166 0.000
Np1 Np 0.000 0.000 0.500
Np2 Np 0.000 0.333 0.500
Ni1 Ni 0.000 0.500 0.000
S1 S 0.240 0.500 0.741
S2 S 0.243 0.339 0.253